[1]
VASP calculation (GGA-PBE) on a relaxed YSc2SbC crystal.

Cell: 4.5573 4.5573 4.8637 Å, 90.00 90.00 90.00°
Space group P4/mmm (No. 123)
One atom of each set of equivalent atoms:
Y: 0.0000 0.0000 0.0000 x1
Sc: 0.0000 0.5000 0.5000 x2
Sb: 0.5000 0.5000 0.0000 x1
C: 0.0000 0.0000 0.5000 x1

Output
Uncorrected formation energy (eV/atom): -0.718

=====

[2]
VASP calculation (GGA-PBE) on a relaxed NdDyZnCo crystal.

Cell: 7.0164 7.0164 7.0164 Å, 90.00 90.00 90.00°
Space group F-43m (No. 216)
One atom of each set of equivalent atoms:
Nd: 0.0000 0.0000 0.0000 x4
Dy: 0.0000 0.0000 0.5000 x4
Zn: 0.2500 0.2500 0.7500 x4
Co: 0.2500 0.2500 0.2500 x4

Output
Energy relative to the elements (meV/atom): -161

=====

[3]
VASP calculation (GGA-PBE) on a relaxed InTe2NCl crystal.

Cell: 6.5753 6.5753 3.3091 Å, 90.00 90.00 90.00°
Space group P4/mmm (No. 123)
One atom of each set of equivalent atoms:
In: 0.0000 0.0000 0.0000 x1
Te: 0.0000 0.5000 0.5000 x2
N: 0.5000 0.5000 0.0000 x1
Cl: 0.5000 0.5000 0.5000 x1

Output
Uncorrected formation energy (eV/atom): 1.069

=====

[4]
VASP calculation (GGA-PBE) on a relaxed BaCrCl2 crystal.

Cell: 7.6339 7.6339 7.6339 Å, 90.00 90.00 90.00°
Space group Fm-3m (No. 225)
One atom of each set of equivalent atoms:
Ba: 0.0000 0.0000 0.0000 x4
Cr: 0.0000 0.0000 0.5000 x4
Cl: 0.2500 0.2500 0.2500 x8

Output
Uncorrected formation energy (eV/atom): -0.946

=====

[5]
VASP calculation (GGA-PBE) on a relaxed Pr2Nd6Er5 crystal.

Cell: 11.8629 20.5347 3.6518 Å, 90.00 90.00 90.00°
Space group Pbam (No. 55)
One atom of each set of equivalent atoms:
Pr: 0.1659 0.2156 0.0000 x4
Nd: 0.0578 0.9226 0.0000 x4
Nd: 0.0798 0.6350 0.0000 x4
Nd: 0.1776 0.3741 0.5000 x4
Er: 0.0000 0.5000 0.5000 x2
Er: 0.0946 0.7777 0.5000 x4
Er: 0.2002 0.0551 0.5000 x4

Output
Energy relative to the elements (meV/atom): 102

=====

[6]
VASP calculation (GGA-PBE) on a relaxed RbCrH2 crystal.

Cell: 10.6432 8.7895 4.0736 Å, 90.00 102.75 90.00°
Space group C2/m (No. 12)
One atom of each set of equivalent atoms:
Rb: 0.2500 0.2500 0.0000 x4
Cr: 0.0436 0.0000 0.3416 x4
H: 0.0000 0.1392 0.0000 x4
H: 0.2066 0.0000 0.5289 x4

Output
Total DFT energy (no corrections) (eV/atom): -4.12

=====

no.,mass density (Mg/m³)
1,5.139
2,8.290
3,4.869
4,3.885
5,7.405
6,2.493